Record 1
Here is crystalline Nd2SmHoSe5 at its relaxed geometry from Alexandria. Energies are from GGA-PBE.

a = 5.123 Å, b = 5.123 Å, c = 10.894 Å
α = 90.00°, β = 90.00°, γ = 90.00°
Element x y z (fractional)
Se (0.500, 0.500, 0.000)
Sm (0.000, 0.000, 0.000)
Se (0.500, 0.000, 0.500)
Ho (0.000, 0.000, 0.500)
Nd (0.500, 0.500, 0.326)
Se (0.000, 0.000, 0.249)
Se (0.000, 0.500, 0.500)
Nd (0.500, 0.500, 0.674)
Se (0.000, 0.000, 0.751)

Values from the calculation:
**Crystal system**: tetragonal
**V**: 31.76 Å³ per atom
**Total energy**: -5.3124 eV/atom
**Uncorrected formation energy**: -1.284 eV per atom
**Space-group type**: No. 123



Record 2
Here is crystalline SmEuYSn at its relaxed geometry from Alexandria. Energies are from GGA-PBE.

a = 5.510 Å, b = 5.510 Å, c = 5.510 Å
α = 60.00°, β = 60.00°, γ = 60.00°
Each line ends with the local moment (μB).
Element x y z (fractional)
Sm (0.250, 0.250, 0.250)  -0.18
Y (0.750, 0.750, 0.750)  -0.19
Eu (0.500, 0.500, 0.500)  -6.98
Sn (0.000, 0.000, 0.000)  0.04

Values from the calculation:
**Crystal system**: cubic
**ΔE_f**: -102 kJ/mol of formula units
**V**: 29.57 Å³ per atom
**Total energy**: -6.6286 eV/atom
**Space-group type**: No. 216



Record 3
Here is crystalline CsBr2N6 at its relaxed geometry from Alexandria. Energies are from GGA-PBE.

a = 8.180 Å, b = 8.343 Å, c = 8.625 Å
α = 70.20°, β = 46.28°, γ = 60.64°
Each line ends with the local moment (μB).
Element x y z (fractional)
N (0.422, 0.000, 0.016)  0.00
N (0.426, 0.568, 0.015)  0.00
Br (0.400, 0.199, 0.500)  0.36
Cs (0.000, 0.000, 0.000)  0.00
Br (0.600, 0.801, 0.500)  0.36
N (0.994, 0.432, 0.015)  0.00
N (0.574, 0.432, 0.985)  0.00
N (0.578, 0.000, 0.984)  0.00
N (0.006, 0.568, 0.985)  0.00

Values from the calculation:
**Crystal system**: monoclinic
**V**: 41.20 Å³ per atom
**Total energy**: -6.3420 eV/atom
**Uncorrected formation energy**: -0.325 eV per atom
**Space-group type**: No. 12



Record 4
Here is crystalline Dy3YGa2 at its relaxed geometry from Alexandria. Energies are from GGA-PBE.

a = 4.942 Å, b = 6.612 Å, c = 9.460 Å
α = 90.00°, β = 90.00°, γ = 90.00°
Element x y z (fractional)
Y (0.500, 0.535, 0.551)
Dy (0.500, 0.672, 0.179)
Ga (0.000, 0.289, 0.640)
Ga (0.500, 0.710, 0.860)
Y (0.500, 0.035, 0.449)
Dy (0.000, 0.465, 0.950)
Dy (0.000, 0.828, 0.680)
Ga (0.500, 0.210, 0.140)
Dy (0.500, 0.172, 0.821)
Dy (0.000, 0.328, 0.320)
Dy (0.000, 0.965, 0.050)
Ga (0.000, 0.789, 0.360)

Values from the calculation:
**Crystal system**: orthorhombic
**ΔE_f**: -251 kJ/mol of formula units
**V**: 25.76 Å³ per atom
**Total energy**: -4.8201 eV/atom
**Space-group type**: No. 26
**Relative energy among the computed polymorphs**: 0 meV/atom



Record 5
Here is crystalline TlOsW2 at its relaxed geometry from Alexandria. Energies are from GGA-PBE.

a = 9.813 Å, b = 9.813 Å, c = 9.813 Å
α = 16.92°, β = 16.92°, γ = 16.92°
Element x y z (fractional)
W (0.246, 0.246, 0.246)
Tl (0.751, 0.751, 0.751)
W (0.995, 0.995, 0.995)
Os (0.508, 0.508, 0.508)

Values from the calculation:
**Crystal system**: trigonal
**ΔE_f**: 254 kJ/mol of formula units
**V**: 17.45 Å³ per atom
**Total energy**: -9.2176 eV/atom
**Space-group type**: No. 160
**Relative energy among the computed polymorphs**: 116 meV/atom



Record 6
Here is crystalline Y3TlW at its relaxed geometry from Alexandria. Energies are from GGA-PBE.

a = 5.430 Å, b = 5.430 Å, c = 5.430 Å
α = 90.00°, β = 90.00°, γ = 90.00°
Element x y z (fractional)
W (0.000, 0.000, 0.000)
Y (0.500, 0.000, 0.000)
Y (0.000, 0.000, 0.500)
Y (0.000, 0.500, 0.000)
Tl (0.500, 0.500, 0.500)

Values from the calculation:
**Crystal system**: cubic
**ΔE_f**: 241 kJ/mol of formula units
**V**: 32.02 Å³ per atom
**Total energy**: -6.4419 eV/atom
**Space-group type**: No. 221
**Relative energy among the computed polymorphs**: 0 meV/atom



Record 7
Here is crystalline BeIr3Se at its relaxed geometry from Alexandria. Energies are from GGA-PBE.

a = 4.552 Å, b = 4.552 Å, c = 4.552 Å
α = 90.00°, β = 90.00°, γ = 90.00°
Element x y z (fractional)
Be (0.500, 0.500, 0.500)
Se (0.000, 0.000, 0.000)
Ir (0.000, 0.000, 0.500)
Ir (0.000, 0.500, 0.000)
Ir (0.500, 0.000, 0.000)

Values from the calculation:
**Crystal system**: cubic
**V**: 18.87 Å³ per atom
**Total energy**: -5.2774 eV/atom
**Uncorrected formation energy**: 1.481 eV per atom
**Space-group type**: No. 221
**Relative energy among the computed polymorphs**: 771 meV/atom



Record 8
Here is crystalline NaLa3Os at its relaxed geometry from Alexandria. Energies are from GGA-PBE.

a = 10.578 Å, b = 7.061 Å, c = 7.064 Å
α = 72.29°, β = 77.87°, γ = 48.57°
Element x y z (fractional)
La (0.093, 0.161, 0.254)
La (0.852, 0.898, 0.257)
Os (0.093, 0.911, 0.004)
Na (0.593, 0.162, 0.753)
La (0.333, 0.423, 0.250)
La (0.333, 0.923, 0.750)
Os (0.093, 0.411, 0.504)
La (0.852, 0.399, 0.757)
Na (0.593, 0.661, 0.254)
La (0.093, 0.661, 0.754)

Values from the calculation:
**Crystal system**: triclinic
**ΔE_f**: -26 kJ/mol of formula units
**V**: 37.69 Å³ per atom
**Total energy**: -5.5205 eV/atom
**Space-group type**: No. 2
**Relative energy among the computed polymorphs**: 36 meV/atom



Record 9
Here is crystalline Gd2GaH at its relaxed geometry from Alexandria. Energies are from GGA-PBE.

a = 3.513 Å, b = 3.513 Å, c = 9.012 Å
α = 78.76°, β = 78.76°, γ = 60.00°
Each line ends with the local moment (μB).
Element x y z (fractional)
Ga (0.000, 0.000, 0.000)  0.00
Gd (0.886, 0.886, 0.343)  7.09
H (0.500, 0.500, 0.500)  -0.01
Gd (0.114, 0.114, 0.657)  7.09

Values from the calculation:
**Crystal system**: trigonal
**V**: 23.46 Å³ per atom
**Total energy**: -8.6619 eV/atom
**Space-group type**: No. 166



Record 10
Here is crystalline Th2SnSb at its relaxed geometry from Alexandria. Energies are from GGA-PBE.

a = 4.436 Å, b = 4.436 Å, c = 8.217 Å
α = 74.34°, β = 74.34°, γ = 60.00°
Element x y z (fractional)
Sn (0.499, 0.499, 0.502)
Th (0.251, 0.251, 0.246)
Sb (0.668, 0.668, 0.996)
Th (0.081, 0.081, 0.756)

Values from the calculation:
**Crystal system**: trigonal
**V**: 33.26 Å³ per atom
**Total energy**: -6.3207 eV/atom
**Uncorrected formation energy**: -0.579 eV per atom
**Space-group type**: No. 160
**Relative energy among the computed polymorphs**: 131 meV/atom



Record 11
Here is crystalline CsBa2HfS at its relaxed geometry from Alexandria. Energies are from GGA-PBE.

a = 6.448 Å, b = 5.306 Å, c = 6.448 Å
α = 90.00°, β = 90.00°, γ = 90.00°
Element x y z (fractional)
Hf (0.000, 0.500, 0.000)
Cs (0.000, 0.000, 0.000)
Ba (0.000, 0.000, 0.500)
Ba (0.500, 0.000, 0.000)
S (0.500, 0.500, 0.500)

Values from the calculation:
**Crystal system**: tetragonal
**V**: 44.12 Å³ per atom
**Total energy**: -2.5735 eV/atom
**Uncorrected formation energy**: 1.182 eV per atom
**Space-group type**: No. 123



Record 12
Here is crystalline Rb2OsAuBr6 at its relaxed geometry from Alexandria. Energies are from GGA-PBE.

a = 7.758 Å, b = 7.758 Å, c = 7.607 Å
α = 59.34°, β = 59.34°, γ = 90.00°
Each line ends with the local moment (μB).
Element x y z (fractional)
Au (0.000, 0.000, 0.000)  -0.02
Br (0.744, 0.744, 0.512)  0.02
Br (0.269, 0.269, 0.000)  0.03
Br (0.256, 0.256, 0.488)  0.02
Os (0.500, 0.500, 0.000)  0.99
Br (0.731, 0.731, 0.000)  0.03
Br (0.731, 0.269, 0.000)  0.03
Rb (0.250, 0.750, 0.500)  0.00
Rb (0.750, 0.250, 0.500)  0.00
Br (0.269, 0.731, 0.000)  0.03

Values from the calculation:
**Crystal system**: tetragonal
**V**: 31.72 Å³ per atom
**Total energy**: -3.2667 eV/atom
**Uncorrected formation energy**: -0.619 eV per atom
**Space-group type**: No. 139



Among the records above, which one has the highest V?
CsBa2HfS



Copy entry 12 word for word.
Here is crystalline Rb2OsAuBr6 at its relaxed geometry from Alexandria. Energies are from GGA-PBE.

a = 7.758 Å, b = 7.758 Å, c = 7.607 Å
α = 59.34°, β = 59.34°, γ = 90.00°
Each line ends with the local moment (μB).
Element x y z (fractional)
Au (0.000, 0.000, 0.000)  -0.02
Br (0.744, 0.744, 0.512)  0.02
Br (0.269, 0.269, 0.000)  0.03
Br (0.256, 0.256, 0.488)  0.02
Os (0.500, 0.500, 0.000)  0.99
Br (0.731, 0.731, 0.000)  0.03
Br (0.731, 0.269, 0.000)  0.03
Rb (0.250, 0.750, 0.500)  0.00
Rb (0.750, 0.250, 0.500)  0.00
Br (0.269, 0.731, 0.000)  0.03

Values from the calculation:
**Crystal system**: tetragonal
**V**: 31.72 Å³ per atom
**Total energy**: -3.2667 eV/atom
**Uncorrected formation energy**: -0.619 eV per atom
**Space-group type**: No. 139



What is the V in the first record?
31.76 Å³ per atom